# SmIBr

SmIBr after structural relaxation (GGA-PBE, Alexandria via LeMat-Bulk).

Properties
- calculated volume (Å³ per cell) = 113.9
- ΔE_f (raw) (eV per formula unit) = -4.3

Cell: 4.0851 4.0851 7.8821 Å, 90.00 90.00 120.00°
With the nearest neighbours (Å) after each atom.
Space group P3m1 (No. 156)
Symmetry-distinct sites (fractional):
Sm 0.0000 0.0000 0.0000 x1  3 Br 2.98, 3 I 3.13
I 0.3333 0.6667 0.7392 x1  3 Sm 3.13
Br 0.6667 0.3333 0.2306 x1  3 Sm 2.98